1.
Compound: Nb2AuC
Source: Alexandria
Functional: PBE-GGA
Structure: optimized geometry

Computed properties:
E_tot: -8.559 eV per atom
Symmetry: R-3m (166)
M_tot: 0.00 μB/f.u.

abc: 3.182 3.182 7.236
angles: 90.03 102.67 120.00
Positions (direct):
Nb (0.554, 0.277, 0.830)
Nb (0.446, 0.723, 0.170)
Au (0.000, 0.500, 0.500)
C (0.000, 0.000, 0.000)

2.
Compound: Nb2AuC2
Source: Alexandria
Functional: PBE-GGA
Structure: optimized geometry

Computed properties:
ΔE to the lowest computed polymorph: 0.000 eV per atom
Symmetry: I4/mmm (139)
M_tot: 0.00 μB/f.u.

abc: 4.350 4.350 5.059
angles: 64.54 64.54 90.00
Positions (direct):
Nb (0.750, 0.250, 0.500)
Nb (0.250, 0.750, 0.500)
Au (0.000, 0.000, 0.000)
C (0.275, 0.275, 0.450)
C (0.725, 0.725, 0.550)

3.
Compound: Nb4AuC
Source: Alexandria
Functional: PBE-GGA
Structure: optimized geometry

Computed properties:
E_tot: -8.792 eV per atom
Symmetry: C2/c (15)
M_tot: 0.00 μB/f.u.

abc: 5.315 6.731 7.090
angles: 110.53 102.58 109.31
Positions (direct):
Nb (0.288, 0.902, 0.568)
Nb (0.037, 0.857, 0.115)
Nb (0.220, 0.334, 0.432)
Nb (0.423, 0.742, 0.885)
Nb (0.712, 0.098, 0.432)
Nb (0.780, 0.666, 0.568)
Nb (0.963, 0.143, 0.885)
Nb (0.577, 0.258, 0.115)
Au (0.353, 0.603, 0.206)
Au (0.647, 0.397, 0.794)
C (0.814, 0.064, 0.128)
C (0.186, 0.936, 0.872)

4.
Compound: Nb5AuC
Source: Alexandria
Functional: PBE-GGA
Structure: optimized geometry

Computed properties:
E_tot: -9.103 eV per atom
Symmetry: C2/c (15)
M_tot: 0.00 μB/f.u.

abc: 5.552 5.552 7.805
angles: 97.17 97.17 93.33
Positions (direct):
Nb (0.825, 0.648, 0.017)
Nb (0.107, 0.644, 0.372)
Nb (0.648, 0.825, 0.517)
Nb (0.888, 0.112, 0.250)
Nb (0.356, 0.893, 0.128)
Nb (0.644, 0.107, 0.872)
Nb (0.112, 0.888, 0.750)
Nb (0.352, 0.175, 0.483)
Nb (0.893, 0.356, 0.628)
Nb (0.175, 0.352, 0.983)
Au (0.552, 0.448, 0.250)
Au (0.448, 0.552, 0.750)
C (0.000, 0.000, 0.000)
C (0.000, 0.000, 0.500)

5.
Compound: Nb2AuC4
Source: Alexandria
Functional: PBE-GGA
Structure: optimized geometry

Computed properties:
E_tot: -6.843 eV per atom
Symmetry: I4/mmm (139)
M_tot: 0.00 μB/f.u.

abc: 4.056 4.056 6.213
angles: 70.95 70.95 90.00
Positions (direct):
Nb (0.630, 0.630, 0.739)
Nb (0.370, 0.370, 0.261)
Au (0.000, 0.000, 0.000)
C (0.809, 0.809, 0.381)
C (0.191, 0.191, 0.619)
C (0.000, 0.500, 0.000)
C (0.500, 0.000, 0.000)

6.
Compound: NbPt2AuC
Source: Alexandria
Functional: PBE-GGA
Structure: optimized geometry

Computed properties:
E_tot: -5.414 eV per atom
Symmetry: P4/mmm (123)
M_tot: 1.61 μB/f.u.

abc: 5.080 3.706 5.080
angles: 90.00 90.00 90.00
Positions (direct):
Nb (0.500, 0.500, 0.500)
Au (0.000, 0.000, 0.000)
C (0.000, 0.500, 0.000)
Pt (0.000, 0.000, 0.500)
Pt (0.500, 0.000, 0.000)

| no. | N(E_F) (states/eV/atom) |
| --- | --- |
| 1 | 0.476 |
| 2 | 0.419 |
| 3 | 0.891 |
| 4 | 1.017 |
| 5 | 0.641 |
| 6 | 0.978 |